1.
Material: SnCSe2
Method: DFT, SCAN
State: single point on PBEsol structure

Results
Size of the total moment in μB per formula unit: 0.000
V in Å³ per atom: 23.70
D(E_F) in states/eV/cell: 5.1
Formation energy without anion corrections in eV per atom: 0.849
Calculated total energy in eV/f.u.: -82.78

Cell: 3.7188 3.7188 23.7500 Å, 90.00 90.00 120.00°
Closest atoms and distances in Å follow each position.
Space group R-3m (No. 166, hexagonal axes)
Unique sites:
Sn: 0.0000 0.0000 0.0000  6 Se 3.09
C: 0.0000 0.0000 0.5000  2 Se 1.74
Se: 0.0000 0.0000 0.4269  1 C 1.74

---

2.
Material: Sr2CSe
Method: DFT, SCAN
State: single point on PBEsol structure

Results
Size of the total moment in μB per formula unit: 2.000
V in Å³ per atom: 23.01
D(E_F) in states/eV/cell: 8.3
Formation energy without anion corrections in eV per atom: -0.223
Calculated total energy in eV/f.u.: -75.62

Cell: 7.1670 7.1670 7.1670 Å, 90.00 90.00 90.00°
Closest atoms and distances in Å follow each position.
Space group Fm-3m (No. 225)
Unique sites:
Sr: 0.2500 0.2500 0.2500  4 Se 3.10, 4 C 3.10
C: 0.0000 0.0000 0.0000  8 Sr 3.10
Se: 0.0000 0.0000 0.5000  8 Sr 3.10

---

3.
Material: Ta2TeCSe
Method: DFT, SCAN
State: single point on PBEsol structure

Results
Size of the total moment in μB per formula unit: 0.000
V in Å³ per atom: 17.94
D(E_F) in states/eV/cell: 3.0
Formation energy without anion corrections in eV per atom: 1.482
Calculated total energy in eV/f.u.: -193.19

Cell: 4.8712 4.8712 3.7794 Å, 90.00 90.00 90.00°
Closest atoms and distances in Å follow each position.
Space group P4/mmm (No. 123)
Unique sites:
Ta: 0.0000 0.5000 0.0000  2 Se 2.44
Te: 0.0000 0.0000 0.5000  8 Ta 3.08, 4 C 3.44
C: 0.5000 0.5000 0.5000  2 Se 1.89
Se: 0.5000 0.5000 0.0000  2 C 1.89

---

4.
Material: TaTlC2Se
Method: DFT, SCAN
State: single point on PBEsol structure

Results
Size of the total moment in μB per formula unit: 0.227
V in Å³ per atom: 18.58
D(E_F) in states/eV/cell: 3.3
Formation energy without anion corrections in eV per atom: 2.911
Calculated total energy in eV/f.u.: -164.67

Cell: 4.1348 4.1348 5.4334 Å, 90.00 90.00 90.00°
Closest atoms and distances in Å follow each position.
Space group P4/mmm (No. 123)
Unique sites:
Ta: 0.0000 0.0000 0.0000  4 Se 2.92
Tl: 0.5000 0.5000 0.5000  4 C 2.07
C: 0.0000 0.5000 0.5000  2 Tl 2.07
Se: 0.5000 0.5000 0.0000  2 Tl 2.72, 4 Ta 2.92

---

Which of these has the highest formation energy without anion corrections? TaTlC2Se

---

Please write out number 3 again, unchanged.
Material: Ta2TeCSe
Method: DFT, SCAN
State: single point on PBEsol structure

Results
Size of the total moment in μB per formula unit: 0.000
V in Å³ per atom: 17.94
D(E_F) in states/eV/cell: 3.0
Formation energy without anion corrections in eV per atom: 1.482
Calculated total energy in eV/f.u.: -193.19

Cell: 4.8712 4.8712 3.7794 Å, 90.00 90.00 90.00°
Closest atoms and distances in Å follow each position.
Space group P4/mmm (No. 123)
Unique sites:
Ta: 0.0000 0.5000 0.0000  2 Se 2.44
Te: 0.0000 0.0000 0.5000  8 Ta 3.08, 4 C 3.44
C: 0.5000 0.5000 0.5000  2 Se 1.89
Se: 0.5000 0.5000 0.0000  2 C 1.89

---

calculated total energy of number 4 (TaTlC2Se)? -164.67 eV/f.u.

---

What is the formula in the fourth record? TaTlC2Se